Ac5RuN: relaxed, PBE.

Geometry as POSCAR:
```
Ac5RuN
1.0
7.6250 0.0000 0.0000
-0.4919 7.6106 0.0000
-3.5515 -3.8160 9.6972
Ac Ru N
10 2 2
Direct
0.0925 0.1464 0.3429
0.1735 0.4243 0.7503
0.3046 0.7500 0.1577
0.3099 0.1895 0.0516
0.3622 0.7411 0.5516
0.6378 0.2589 0.4484
0.6901 0.8105 0.9484
0.6954 0.2500 0.8423
0.8265 0.5757 0.2497
0.9075 0.8536 0.6571
0.0000 0.5000 0.5000
0.5000 0.5000 0.0000
0.3472 0.0974 0.2501
0.6528 0.9026 0.7499
```

- Mass density: 7.38 g cm⁻³
- SG: No. 2
- Energy relative to the elements, uncorrected: -0.2912 eV per atom

NpFe4Pt: relaxed, PBE.

Geometry as POSCAR:
```
NpFe4Pt
1.0
0.0000 3.5099 3.5099
3.5099 0.0000 3.5099
3.5099 3.5099 0.0000
Np Fe Pt
1 4 1
Direct
0.0000 0.0000 0.0000
0.3759 0.3759 0.3759
0.3759 0.3759 0.8723
0.3759 0.8723 0.3759
0.8723 0.3759 0.3759
0.7500 0.7500 0.7500
```

- Mass density: 12.59 g cm⁻³
- Electronic total energy: -8.877 eV per atom
- SG: No. 216

P2IrSe: relaxed, PBE.

Geometry as POSCAR:
```
P2IrSe
1.0
3.8666 0.0000 0.0000
-1.0512 4.3056 0.0000
-1.0715 -0.2863 5.6668
P Ir Se
2 1 1
Direct
0.0000 0.0000 0.0000
0.3762 0.3860 0.2194
0.5537 0.9084 0.2327
0.1501 0.0762 0.5230
```

- Mass density: 5.86 g cm⁻³
- SG: No. 1
- Energy relative to the elements, uncorrected: -0.0649 eV per atom

MgTiAs2O7: relaxed, PBE.

Geometry as POSCAR:
```
MgTiAs2O7
1.0
8.5200 0.0000 0.0000
0.0000 8.5729 0.0000
-6.4754 0.0000 8.9261
Mg Ti As O
4 4 8 28
Direct
0.1542 0.1270 0.1237
0.1542 0.3730 0.6237
0.8458 0.6270 0.3763
0.8458 0.8730 0.8763
0.3633 0.0145 0.7098
0.3633 0.4855 0.2098
0.6367 0.5145 0.7902
0.6367 0.9855 0.2902
0.0785 0.7242 0.7373
0.0785 0.7758 0.2373
0.4995 0.2113 0.4647
0.4995 0.2887 0.9647
0.5005 0.7113 0.0353
0.5005 0.7887 0.5353
0.9215 0.2242 0.7627
0.9215 0.2758 0.2627
0.0305 0.5880 0.6059
0.0305 0.9120 0.1059
0.1171 0.2166 0.2734
0.1171 0.2834 0.7734
0.2129 0.6299 0.2307
0.2129 0.8701 0.7307
0.2323 0.1641 0.5893
0.2323 0.3359 0.0893
0.2364 0.6487 0.9202
0.2364 0.8513 0.4202
0.4475 0.0821 0.3123
0.4475 0.4179 0.8123
0.4712 0.6097 0.6068
0.4712 0.8903 0.1068
0.5288 0.1097 0.8932
0.5288 0.3903 0.3932
0.5525 0.5821 0.1877
0.5525 0.9179 0.6877
0.7636 0.1487 0.5798
0.7636 0.3513 0.0798
0.7677 0.6641 0.9107
0.7677 0.8359 0.4107
0.7871 0.1299 0.2693
0.7871 0.3701 0.7693
0.8829 0.7166 0.2266
0.8829 0.7834 0.7266
0.9695 0.0880 0.8941
0.9695 0.4120 0.3941
```

- Mass density: 3.40 g cm⁻³
- SG: No. 14
- Energy relative to the elements, uncorrected: -1.9622 eV per atom

CaAcCd4: relaxed, PBE.

Geometry as POSCAR:
```
CaAcCd4
1.0
4.5110 0.0000 0.0000
0.0000 4.5110 0.0000
0.0000 0.0000 18.0083
Ca Ac Cd
2 2 8
Direct
0.0000 0.0000 0.0000
0.5000 0.5000 0.5000
0.0000 0.5000 0.2500
0.5000 0.0000 0.7500
0.0000 0.0000 0.4225
0.0000 0.0000 0.5775
0.0000 0.5000 0.6683
0.0000 0.5000 0.8317
0.5000 0.0000 0.1683
0.5000 0.0000 0.3317
0.5000 0.5000 0.0775
0.5000 0.5000 0.9225
```

- Mass density: 6.50 g cm⁻³
- Electronic total energy: -1.866 eV per atom
- SG: No. 119

DyZn4Cu: relaxed, PBE.

Geometry as POSCAR:
```
DyZn4Cu
1.0
0.0000 3.7004 3.7004
3.7004 0.0000 3.7004
3.7004 3.7004 0.0000
Dy Zn Cu
1 4 1
Direct
0.0000 0.0000 0.0000
0.3752 0.3752 0.3752
0.3752 0.3752 0.8743
0.3752 0.8743 0.3752
0.8743 0.3752 0.3752
0.7500 0.7500 0.7500
```

- Mass density: 7.99 g cm⁻³
- Electronic total energy: -2.411 eV per atom
- SG: No. 216

LaZnAsN: relaxed, PBE.

Geometry as POSCAR:
```
LaZnAsN
1.0
4.1696 0.0000 0.0000
-2.0848 3.6110 0.0000
0.0000 0.0000 17.1945
La Zn As N
3 3 3 3
Direct
0.0000 0.0000 0.0000
0.3333 0.6667 0.6667
0.6667 0.3333 0.3333
0.0000 0.0000 0.8184
0.3333 0.6667 0.4851
0.6667 0.3333 0.1517
0.0000 0.0000 0.1985
0.3333 0.6667 0.8652
0.6667 0.3333 0.5319
0.0000 0.0000 0.3137
0.3333 0.6667 0.9804
0.6667 0.3333 0.6470
```

- Mass density: 5.64 g cm⁻³
- SG: No. 160
- Energy relative to the elements, uncorrected: -0.5262 eV per atom

Pm2NdEr: relaxed, PBE.

Geometry as POSCAR:
```
Pm2NdEr
1.0
3.6341 0.0000 0.0000
-1.8171 3.1473 0.0000
0.0000 0.0000 35.3114
Pm Nd Er
6 3 3
Direct
0.0000 0.0000 0.0000
0.0000 0.0000 0.1702
0.3333 0.6667 0.6667
0.3333 0.6667 0.8369
0.6667 0.3333 0.3333
0.6667 0.3333 0.5035
0.0000 0.0000 0.7520
0.3333 0.6667 0.4186
0.6667 0.3333 0.0853
0.0000 0.0000 0.5849
0.3333 0.6667 0.2516
0.6667 0.3333 0.9183
```

- Mass density: 7.42 g cm⁻³
- Electronic total energy: -4.689 eV per atom
- SG: No. 160

Rb2LaMo: relaxed, PBE.

Geometry as POSCAR:
```
Rb2LaMo
1.0
4.6652 0.0000 0.0000
0.0000 4.6652 0.0000
0.0000 0.0000 28.3156
Rb La Mo
8 4 4
Direct
0.2432 0.2500 0.1250
0.2500 0.7432 0.3750
0.2500 0.7568 0.8750
0.2568 0.2500 0.6250
0.7432 0.7500 0.6250
0.7500 0.2432 0.8750
0.7500 0.2568 0.3750
0.7568 0.7500 0.1250
0.0000 0.0000 0.5000
0.0000 0.5000 0.7500
0.5000 0.0000 0.2500
0.5000 0.5000 0.0000
0.0000 0.0000 0.0000
0.0000 0.5000 0.2500
0.5000 0.0000 0.7500
0.5000 0.5000 0.5000
```

- Mass density: 4.37 g cm⁻³
- Electronic total energy: -3.139 eV per atom
- SG: No. 122

Rb3CoSi: relaxed, PBE.

Geometry as POSCAR:
```
Rb3CoSi
1.0
6.6717 0.0000 0.0000
0.0000 6.6717 0.0000
0.0000 0.0000 6.6717
Rb Co Si
3 1 1
Direct
0.0000 0.0000 0.5000
0.0000 0.5000 0.0000
0.5000 0.0000 0.0000
0.5000 0.5000 0.5000
0.0000 0.0000 0.0000
```

- Mass density: 1.92 g cm⁻³
- SG: No. 221
- Energy relative to the elements, uncorrected: 1.0332 eV per atom

K3PuIn3I8: relaxed, PBE.

Geometry as POSCAR:
```
K3PuIn3I8
1.0
4.9847 2.8779 8.2422
-4.9847 2.8779 8.2422
0.0000 -5.7559 8.2422
K Pu In I
3 1 3 8
Direct
0.0000 0.5000 0.5000
0.5000 0.0000 0.5000
0.5000 0.5000 0.0000
0.5000 0.5000 0.5000
0.0000 0.0000 0.5000
0.0000 0.5000 0.0000
0.5000 0.0000 0.0000
0.2496 0.2496 0.2496
0.2688 0.7290 0.7290
0.2710 0.2710 0.7312
0.2710 0.7312 0.2710
0.7290 0.2688 0.7290
0.7290 0.7290 0.2688
0.7312 0.2710 0.2710
0.7504 0.7504 0.7504
```

- Mass density: 4.03 g cm⁻³
- SG: No. 166
- Energy relative to the elements, uncorrected: -0.9709 eV per atom

NaPb12Au7: relaxed, PBE.

Geometry as POSCAR:
```
NaPb12Au7
1.0
7.4003 4.2726 2.8097
-7.4003 4.2726 2.8097
0.0000 -8.5451 2.8097
Na Pb Au
1 12 7
Direct
0.0000 0.0000 0.0000
0.0795 0.7292 0.1783
0.1330 0.4014 0.5704
0.1783 0.0795 0.7292
0.2708 0.8217 0.9205
0.4014 0.5704 0.1330
0.4296 0.8670 0.5986
0.5704 0.1330 0.4014
0.5986 0.4296 0.8670
0.7292 0.1783 0.0795
0.8217 0.9205 0.2708
0.8670 0.5986 0.4296
0.9205 0.2708 0.8217
0.1422 0.4404 0.2585
0.2585 0.1422 0.4404
0.4404 0.2585 0.1422
0.5000 0.5000 0.5000
0.5596 0.7415 0.8578
0.7415 0.8578 0.5596
0.8578 0.5596 0.7415
```

- Mass density: 12.11 g cm⁻³
- Electronic total energy: -3.494 eV per atom
- SG: No. 148

TaBe2In: relaxed, PBE.

Geometry as POSCAR:
```
TaBe2In
1.0
3.9363 0.0000 0.0000
0.0000 4.4486 0.0000
0.0000 0.0000 6.6165
Ta Be In
2 4 2
Direct
0.0000 0.0000 0.0000
0.5000 0.5000 0.0000
0.0000 0.0000 0.6105
0.0000 0.5000 0.7517
0.5000 0.0000 0.7517
0.5000 0.5000 0.6105
0.0000 0.5000 0.3378
0.5000 0.0000 0.3378
```

- Mass density: 8.99 g cm⁻³
- Electronic total energy: -5.250 eV per atom
- SG: No. 35

NpNi2H4: relaxed, PBE.

Geometry as POSCAR:
```
NpNi2H4
1.0
0.0000 6.4298 3.1465
3.1610 0.0000 3.1465
3.1610 6.4298 0.0000
Np Ni H
2 4 8
Direct
0.0000 0.0000 0.0000
0.2500 0.2500 0.2500
0.5581 0.5719 0.2742
0.5719 0.5581 0.5959
0.6541 0.9758 0.6781
0.9758 0.6541 0.6919
0.0127 0.7919 0.4002
0.2495 0.3559 0.5485
0.3559 0.2495 0.8461
0.4039 0.7015 0.8941
0.4548 0.8498 0.4581
0.7015 0.4039 0.0005
0.7919 0.0127 0.7952
0.8498 0.4548 0.2373
```

- Mass density: 9.31 g cm⁻³
- Electronic total energy: -5.494 eV per atom
- SG: No. 43

LiHo2Pt2: relaxed, PBE.

Geometry as POSCAR:
```
LiHo2Pt2
1.0
-3.6548 5.4592 2.8082
3.6548 -5.4592 2.8082
3.6548 5.4592 -2.8082
Li Ho Pt
2 4 4
Direct
0.2500 0.2500 0.0000
0.7500 0.7500 0.0000
0.1461 0.6528 0.7989
0.3539 0.1528 0.5067
0.6461 0.8472 0.4933
0.8539 0.3472 0.2011
0.1085 0.2679 0.3764
0.3915 0.7679 0.1595
0.6085 0.2321 0.8405
0.8915 0.7321 0.6236
```

- Mass density: 10.77 g cm⁻³
- Electronic total energy: -5.579 eV per atom
- SG: No. 72

BaMgSbTe2: relaxed, PBE.

Geometry as POSCAR:
```
BaMgSbTe2
1.0
6.4059 0.0000 0.0000
0.0000 6.4059 0.0000
0.0000 0.0000 6.3909
Ba Mg Sb Te
1 1 1 2
Direct
0.0000 0.0000 0.0000
0.5000 0.5000 0.5000
0.0000 0.0000 0.5000
0.0000 0.5000 0.0000
0.5000 0.0000 0.0000
```

- Mass density: 3.41 g cm⁻³
- SG: No. 123
- Energy relative to the elements, uncorrected: 0.4770 eV per atom

Sr2SnS: relaxed, PBE.

Geometry as POSCAR:
```
Sr2SnS
1.0
8.2553 0.0000 0.0000
0.0000 8.2553 0.0000
0.0000 0.0000 8.5016
Sr Sn S
8 4 4
Direct
0.1997 0.7500 0.1250
0.2500 0.1997 0.8750
0.2500 0.3003 0.3750
0.3003 0.7500 0.6250
0.6997 0.2500 0.6250
0.7500 0.6997 0.3750
0.7500 0.8003 0.8750
0.8003 0.2500 0.1250
0.0000 0.0000 0.5000
0.0000 0.5000 0.7500
0.5000 0.0000 0.2500
0.5000 0.5000 0.0000
0.0000 0.0000 0.0000
0.0000 0.5000 0.2500
0.5000 0.0000 0.7500
0.5000 0.5000 0.5000
```

- Mass density: 3.74 g cm⁻³
- SG: No. 122
- Energy relative to the elements, uncorrected: -0.9396 eV per atom

ZnFeP2Cl: relaxed, PBE.

Geometry as POSCAR:
```
ZnFeP2Cl
1.0
4.2567 0.0000 0.0000
0.0000 4.2567 0.0000
0.0000 0.0000 5.1259
Zn Fe P Cl
1 1 2 1
Direct
0.0000 0.0000 0.0000
0.5000 0.5000 0.5000
0.0000 0.5000 0.5000
0.5000 0.0000 0.5000
0.5000 0.5000 0.0000
```

- Mass density: 3.91 g cm⁻³
- SG: No. 123
- Energy relative to the elements, uncorrected: 0.3333 eV per atom

BC2: relaxed, PBE.

Geometry as POSCAR:
```
BC2
1.0
2.3103 -3.8534 0.0000
2.3103 3.8534 0.0000
-1.7286 0.0000 4.3270
B C
4 8
Direct
0.0000 0.0000 0.0000
0.3218 0.9786 0.8371
0.5207 0.5207 0.4774
0.9786 0.3218 0.8371
0.1219 0.1219 0.3679
0.1786 0.8418 0.4657
0.3558 0.6833 0.9956
0.4700 0.8129 0.3504
0.6211 0.6211 0.8727
0.6833 0.3558 0.9956
0.8129 0.4700 0.3504
0.8418 0.1786 0.4657
```

- Mass density: 3.00 g cm⁻³
- Electronic total energy: -7.987 eV per atom
- SG: No. 8

AcLa2Zr: relaxed, PBE.

Geometry as POSCAR:
```
AcLa2Zr
1.0
5.1040 0.0000 0.0000
0.0000 5.1040 0.0000
0.0000 0.0000 5.2123
Ac La Zr
1 2 1
Direct
0.0000 0.0000 0.0000
0.0000 0.5000 0.5000
0.5000 0.0000 0.5000
0.5000 0.5000 0.0000
```

- Mass density: 7.29 g cm⁻³
- Electronic total energy: -5.446 eV per atom
- SG: No. 123

Li2FeHg: relaxed, PBE.

Geometry as POSCAR:
```
Li2FeHg
1.0
3.0514 0.0000 0.0000
0.0000 4.5496 0.0000
0.0000 0.0000 9.1386
Li Fe Hg
4 2 2
Direct
0.0000 0.0000 0.2435
0.0000 0.0000 0.7565
0.5000 0.5000 0.2565
0.5000 0.5000 0.7435
0.0000 0.5000 0.5000
0.5000 0.0000 0.0000
0.0000 0.5000 0.0000
0.5000 0.0000 0.5000
```

- Mass density: 7.08 g cm⁻³
- Electronic total energy: -3.001 eV per atom
- SG: No. 71

TlCoRe3: relaxed, PBE.

Geometry as POSCAR:
```
TlCoRe3
1.0
4.4794 0.0000 0.0000
0.0000 4.4794 0.0000
0.0000 0.0000 4.4794
Tl Co Re
1 1 3
Direct
0.0000 0.0000 0.0000
0.5000 0.5000 0.5000
0.0000 0.5000 0.5000
0.5000 0.0000 0.5000
0.5000 0.5000 0.0000
```

- Mass density: 15.19 g cm⁻³
- Electronic total energy: -7.657 eV per atom
- SG: No. 221

Number 1: N(E_F) 5.97 states/eV/f.u.. Number 2: N(E_F) 11.02 states/eV/f.u.. Number 3: N(E_F) 2.11 states/eV/f.u.. Number 4: N(E_F) 0.00 states/eV/f.u.. Number 5: N(E_F) 4.26 states/eV/f.u.. Number 6: N(E_F) 3.12 states/eV/f.u.. Number 7: N(E_F) 2.18 states/eV/f.u.. Number 8: N(E_F) 5.88 states/eV/f.u.. Number 9: N(E_F) 3.92 states/eV/f.u.. Number 10: N(E_F) 8.20 states/eV/f.u.. Number 11: N(E_F) 19.10 states/eV/f.u.. Number 12: N(E_F) 9.84 states/eV/f.u.. Number 13: N(E_F) 1.47 states/eV/f.u.. Number 14: N(E_F) 11.50 states/eV/f.u.. Number 15: N(E_F) 1.79 states/eV/f.u.. Number 16: N(E_F) 8.28 states/eV/f.u.. Number 17: N(E_F) 2.61 states/eV/f.u.. Number 18: N(E_F) 3.64 states/eV/f.u.. Number 19: N(E_F) 0.63 states/eV/f.u.. Number 20: N(E_F) 5.31 states/eV/f.u.. Number 21: N(E_F) 3.51 states/eV/f.u.. Number 22: N(E_F) 5.99 states/eV/f.u..